This record from the Alexandria database describes Mg2CoP after structural relaxation. The functional is PBE-GGA.

Unit cell a=3.8349 b=3.8349 c=7.9513 alpha=90.00 beta=90.00 gamma=90.00
With the nearest neighbours (Å) after each atom.
Space group I-4m2 (No. 119)
Asymmetric unit:
1 Mg 0.0000 0.0000 0.0000 x2  4 Co 2.71, 4 Mg 2.76, 4 P 2.76
2 Mg 0.0000 0.5000 0.2500 x2  4 P 2.71, 4 Co 2.76, 4 Mg 2.76
3 Co 0.0000 0.0000 0.5000 x2  8 Mg 2.71-2.76, 4 P 2.76
4 P 0.0000 0.5000 0.7500 x2  8 Mg 2.71-2.76, 4 Co 2.76

The calculation puts the density at 3.93 Mg/m³. As for the density of states at the Fermi level: 2.19 states/eV per cell. The total energy is -31.7 eV for the cell shown.